# 1
LiAc2HfS6 | PBE-GGA | optimized geometry

Structure (POSCAR):
```
LiAc2HfS6
1.0
6.422 0.000 0.000
0.000 7.530 0.000
-6.204 0.000 9.685
Li Ac Hf S
2 4 2 12
Direct
0.000 0.000 0.000
0.000 0.500 0.500
0.212 0.099 0.752
0.212 0.401 0.252
0.788 0.599 0.748
0.788 0.901 0.248
0.500 0.000 0.500
0.500 0.500 0.000
0.128 0.179 0.454
0.128 0.321 0.954
0.282 0.700 0.453
0.282 0.800 0.953
0.338 0.021 0.247
0.338 0.479 0.747
0.662 0.521 0.253
0.662 0.979 0.753
0.718 0.200 0.047
0.718 0.300 0.547
0.872 0.679 0.046
0.872 0.821 0.546
```

Its crystal system is monoclinic. The value obtained for the formation energy from raw total energies is -1736 meV/atom.

# 2
LaBi2Se2 | PBE-GGA | optimized geometry

Structure (POSCAR):
```
LaBi2Se2
1.0
8.133 0.000 0.000
0.000 8.133 0.000
0.000 0.000 4.521
La Bi Se
2 4 4
Direct
0.000 0.000 0.000
0.500 0.500 0.000
0.162 0.338 0.500
0.338 0.838 0.500
0.662 0.162 0.500
0.838 0.662 0.500
0.177 0.677 0.000
0.323 0.177 0.000
0.677 0.823 0.000
0.823 0.323 0.000
```

Its crystal system is tetragonal. The value obtained for the formation energy from raw total energies is -726 meV/atom.

# 3
MgIn2SiGe | PBE-GGA | optimized geometry

Structure (POSCAR):
```
MgIn2SiGe
1.0
5.249 0.000 0.000
0.000 5.249 0.000
0.000 0.000 4.892
Mg In Si Ge
1 2 1 1
Direct
0.000 0.000 0.000
0.000 0.500 0.500
0.500 0.000 0.500
0.000 0.000 0.500
0.500 0.500 0.000
```

Its crystal system is tetragonal. The value obtained for the formation energy from raw total energies is 481 meV/atom.

# 4
MnAlAs2 | PBE-GGA | optimized geometry

Structure (POSCAR):
```
MnAlAs2
1.0
1.838 -2.414 0.000
1.838 2.414 0.000
0.000 0.000 7.653
Mn Al As
1 1 2
Direct
0.000 0.000 0.000
0.000 0.000 0.500
0.500 0.500 0.227
0.500 0.500 0.773
```

The calculation puts the formation energy at 2.6 kcal/mol of atoms. Its crystal system is orthorhombic.

# 5
Hg2RuPb | PBE-GGA | optimized geometry

Structure (POSCAR):
```
Hg2RuPb
1.0
2.836 -4.321 0.000
2.836 4.321 0.000
0.000 0.000 3.512
Hg Ru Pb
2 1 1
Direct
0.000 0.500 0.000
0.500 0.000 0.000
0.000 0.000 0.500
0.500 0.500 0.500
```

The calculation puts the formation energy at 12.7 kcal/mol of atoms. Its crystal system is orthorhombic.

# 6
LaAgTe3Pb | PBE-GGA | optimized geometry

Structure (POSCAR):
```
LaAgTe3Pb
1.0
9.314 0.000 0.000
0.000 4.407 0.000
-1.811 0.000 9.737
La Ag Te Pb
2 2 6 2
Direct
0.167 0.250 0.236
0.833 0.750 0.764
0.078 0.250 0.580
0.922 0.750 0.420
0.090 0.250 0.874
0.241 0.750 0.490
0.401 0.750 0.159
0.599 0.250 0.841
0.759 0.250 0.510
0.910 0.750 0.126
0.341 0.750 0.836
0.659 0.250 0.164
```

Its crystal system is monoclinic. The value obtained for the formation energy from raw total energies is -816 meV/atom.